Version 1
Below is an optimized crystal structure of Zn2CuMo, with properties calculated at the PBEsol level.

Output
Magnetization = 0.0 Bohr magnetons per cell

a b c (Å): 2.6049 2.6049 7.8349
angles (deg): 90.00 90.00 90.00
Space group P4/mmm (No. 123)
Unique sites:
Zn (0.0000, 0.0000, 0.2334) (multiplicity 2)
Cu (0.5000, 0.5000, 0.0000) (multiplicity 1)
Mo (0.5000, 0.5000, 0.5000) (multiplicity 1)

---

Version 2
Below is an optimized crystal structure of Zn2CuMo, with properties calculated at the PBEsol level.

Output
Magnetization = 0.0 Bohr magnetons per cell

a b c (Å): 3.7963 3.7963 3.7091
angles (deg): 90.00 90.00 90.00
Space group P4/mmm (No. 123)
Unique sites:
Zn (0.0000, 0.5000, 0.0000) (multiplicity 2)
Cu (0.0000, 0.0000, 0.5000) (multiplicity 1)
Mo (0.5000, 0.5000, 0.5000) (multiplicity 1)

---

Order of stability, best first: version 1, version 2